Below is a relaxed structure of GaMo3Pt, with properties calculated at the GGA-PBE level.

```
GaMo3Pt
1.0
-2.910 -1.901 2.933
3.460 -2.103 2.071
0.491 3.556 2.792
Mo Ga Pt
3 1 1
Direct
0.000 0.500 0.000 Mo
0.000 0.000 0.500 Mo
0.500 0.000 0.000 Mo
0.000 0.000 0.000 Ga
0.500 0.500 0.500 Pt
```

Values from the calculation:
- Energy of formation from the pure elements: 1.43 eV/atom
- E above lowest polymorph: 0.000 eV per atom

---

Below is a relaxed structure of BaZnPd3, with properties calculated at the GGA-PBE level.

```
BaZnPd3
1.0
-2.120 3.904 3.121
2.900 -1.801 4.222
4.072 3.315 -1.382
Zn Ba Pd
1 1 3
Direct
0.500 0.500 0.500 Zn
0.000 0.000 0.000 Ba
0.000 0.500 0.000 Pd
0.000 0.000 0.500 Pd
0.500 0.000 0.000 Pd
```

Values from the calculation:
- Energy of formation from the pure elements: 1.02 eV/atom
- E above lowest polymorph: 1.438 eV per atom

---

Below is a relaxed structure of ZrTc2Ir, with properties calculated at the GGA-PBE level.

```
ZrTc2Ir
1.0
-2.374 -0.813 -9.132
-0.480 -2.907 -9.001
-3.165 -3.383 -8.260
Ir Tc Zr
1 2 1
Direct
0.744 0.744 0.744 Ir
0.999 0.999 0.999 Tc
0.258 0.258 0.258 Tc
0.499 0.499 0.499 Zr
```

Values from the calculation:
- Energy of formation from the pure elements: 0.04 eV/atom
- E above lowest polymorph: 0.226 eV per atom

---

Below is a relaxed structure of GdGaO3, with properties calculated at the GGA-PBE level.

```
GdGaO3
1.0
5.372 0.000 0.000
0.000 5.617 0.000
0.000 0.000 7.702
Gd Ga O
4 4 12
Direct
0.017 0.937 0.750 Gd
0.517 0.563 0.250 Gd
0.483 0.437 0.750 Gd
0.983 0.063 0.250 Gd
0.000 0.500 0.500 Ga
0.500 0.000 0.500 Ga
0.500 0.000 0.000 Ga
0.000 0.500 0.000 Ga
0.699 0.301 0.447 O
0.199 0.199 0.553 O
0.801 0.801 0.053 O
0.301 0.699 0.947 O
0.301 0.699 0.553 O
0.801 0.801 0.447 O
0.199 0.199 0.947 O
0.699 0.301 0.053 O
0.102 0.468 0.250 O
0.602 0.032 0.750 O
0.398 0.968 0.250 O
0.898 0.532 0.750 O
```

Values from the calculation:
- E_tot: -9.05 eV/atom

---

Below is a relaxed structure of MgMnRe, with properties calculated at the GGA-PBE level.

```
MgMnRe
1.0
-0.221 -4.184 3.396
0.710 -5.322 -0.515
1.789 4.984 -1.024
Mg Mn Re
1 1 1
Direct
0.995 0.995 0.000 Mg
0.317 0.317 0.000 Mn
0.688 0.688 0.000 Re
```

Values from the calculation:
- Energy of formation from the pure elements: 0.15 eV/atom
- E above lowest polymorph: 0.000 eV per atom

---

Below is a relaxed structure of CeGdLuPb, with properties calculated at the GGA-PBE level.

```
CeGdLuPb
1.0
-1.190 5.067 -1.546
-2.697 0.862 -4.633
-5.141 1.743 0.135
Pb Gd Lu Ce
1 1 1 1
Direct
0.250 0.250 0.250 Pb
0.000 0.000 0.000 Gd
0.500 0.500 0.500 Lu
0.750 0.750 0.750 Ce
```

Values from the calculation:
- Energy of formation from the pure elements: -0.03 eV/atom

---

Below is a relaxed structure of PAu2, with properties calculated at the GGA-PBE level.

```
PAu2
1.0
3.678 0.000 0.000
-1.839 3.185 0.000
0.000 0.000 4.760
Au P
2 1
Direct
0.667 0.333 0.695 Au
0.333 0.667 0.305 Au
0.000 0.000 0.000 P
```

Values from the calculation:
- Energy of formation from the pure elements: 0.20 eV/atom

---

Below is a relaxed structure of LaCu2Tc, with properties calculated at the GGA-PBE level.

```
LaCu2Tc
1.0
0.000 3.321 3.321
3.321 0.000 3.321
3.321 3.321 0.000
Tc Cu La
1 2 1
Direct
0.000 0.000 0.000 Tc
0.250 0.250 0.250 Cu
0.750 0.750 0.750 Cu
0.500 0.500 0.500 La
```

Values from the calculation:
- Energy of formation from the pure elements: 0.37 eV/atom
- E above lowest polymorph: 0.267 eV per atom

---

Below is a relaxed structure of CsBeRu2, with properties calculated at the GGA-PBE level.

```
CsBeRu2
1.0
4.651 0.000 0.000
0.000 4.651 0.000
2.326 2.326 8.225
Cs Ru Be
2 4 2
Direct
0.000 0.000 0.000 Cs
0.750 0.250 0.500 Cs
0.466 0.125 0.250 Ru
0.284 0.625 0.250 Ru
0.375 0.534 0.750 Ru
0.875 0.716 0.750 Ru
0.500 0.500 0.000 Be
0.250 0.750 0.500 Be
```

Values from the calculation:
- Energy of formation from the pure elements: 1.26 eV/atom

---

Below is a relaxed structure of RbIn2SnRu, with properties calculated at the GGA-PBE level.

```
RbIn2SnRu
1.0
-0.568 -1.346 5.067
5.187 -0.888 0.345
0.754 4.951 1.399
Ru Sn Rb In
1 1 1 2
Direct
0.000 0.000 0.000 Ru
0.000 0.000 0.500 Sn
0.500 0.500 0.500 Rb
0.000 0.500 0.000 In
0.500 0.000 0.000 In
```

Values from the calculation:
- Energy of formation from the pure elements: -0.07 eV/atom

---

Below is a relaxed structure of AlPbS2, with properties calculated at the GGA-PBE level.

```
AlPbS2
1.0
-1.284 -6.797 -0.120
6.359 -1.158 -2.465
3.743 -4.263 1.952
Pb S Al
2 4 2
Direct
0.750 0.250 0.500 Pb
0.250 0.750 0.500 Pb
0.750 0.250 0.000 S
0.250 0.750 0.000 S
0.250 0.250 0.000 S
0.750 0.750 0.000 S
0.750 0.750 0.500 Al
0.250 0.250 0.500 Al
```

Values from the calculation:
- E_tot: -3.99 eV/atom

---

Below is a relaxed structure of LaVCoP2, with properties calculated at the GGA-PBE level.

```
LaVCoP2
1.0
3.865 0.000 0.000
0.000 3.865 0.000
-1.932 -1.932 5.707
La V Co P
1 1 1 2
Direct
0.000 0.000 0.000 La
0.750 0.250 0.500 V
0.250 0.750 0.500 Co
0.640 0.640 0.280 P
0.360 0.360 0.720 P
```

Values from the calculation:
- Energy of formation from the pure elements: -0.97 eV/atom

---

Below is a relaxed structure of La4AlOs, with properties calculated at the GGA-PBE level.

```
La4AlOs
1.0
-3.896 1.661 4.598
-4.035 -5.458 -5.911
5.979 -3.581 4.341
La Al Os
8 2 2
Direct
0.091 0.212 0.851 La
0.765 0.714 0.655 La
0.260 0.639 0.851 La
0.390 0.941 0.655 La
0.610 0.059 0.345 La
0.740 0.361 0.149 La
0.235 0.286 0.345 La
0.909 0.788 0.149 La
0.373 0.623 0.245 Al
0.627 0.377 0.755 Al
0.250 0.000 0.000 Os
0.750 0.000 0.000 Os
```

Values from the calculation:
- Energy of formation from the pure elements: -0.21 eV/atom
- E above lowest polymorph: 0.000 eV per atom

---

| no. | total magnetic moment (μB per formula unit) |
| --- | --- |
| 1 | 0.0 |
| 2 | 0.0 |
| 3 | 0.0 |
| 4 | 7.0 |
| 5 | 0.0 |
| 6 | 7.2 |
| 7 | 0.0 |
| 8 | 1.4 |
| 9 | 0.0 |
| 10 | 0.0 |
| 11 | 0.0 |
| 12 | 1.4 |
| 13 | 0.0 |